(1)
GaNi2Ge | PBE | relaxed

```
GaNi2Ge
1.0
2.838 0.000 0.000
-1.419 2.457 0.000
0.000 0.000 22.667
Ga Ni Ge
3 6 3
Cartesian
0.000 0.000 0.000
0.000 1.638 15.111
1.419 0.819 7.556
0.000 0.000 13.212
0.000 0.000 17.013
0.000 1.638 5.657
0.000 1.638 9.457
1.419 0.819 1.901
1.419 0.819 20.768
0.000 0.000 3.779
0.000 1.638 18.890
1.419 0.819 11.334
```

## Properties
Formation energy = -17.8 kJ per mole of atoms
Calculated volume = 13.2 Å³/atom

=====

(2)
GaNi7Ge2 | PBE | relaxed

```
GaNi7Ge2
1.0
-1.870 1.870 9.102
1.870 -1.870 9.102
1.870 1.870 -9.102
Ga Ni Ge
1 7 2
Cartesian
0.000 0.000 0.000
1.870 0.000 1.676
1.870 0.000 4.551
1.870 0.000 7.426
0.000 0.000 9.102
0.000 1.870 1.676
0.000 1.870 4.551
0.000 1.870 7.426
0.000 0.000 6.001
0.000 0.000 12.202
```

## Properties
Formation energy = -21.3 kJ per mole of atoms
Calculated volume = 12.7 Å³/atom

=====

(3)
Ga3Ni8Ge2 | PBE | relaxed

```
Ga3Ni8Ge2
1.0
2.413 1.393 8.590
-2.413 1.393 8.590
0.000 -2.786 8.590
Ga Ni Ge
3 8 2
Cartesian
0.000 0.000 0.000
0.000 0.000 4.838
0.000 0.000 20.933
-1.220 -0.704 14.426
0.000 -1.409 11.345
-1.220 0.704 11.345
0.000 0.000 7.183
0.000 0.000 18.588
1.220 -0.704 14.426
0.000 1.409 14.426
1.220 0.704 11.345
0.000 0.000 9.471
0.000 0.000 16.300
```

## Properties
Formation energy = -6.9 kJ per mole of atoms
Calculated volume = 13.3 Å³/atom

=====

(4)
Ga2Ni7Ge2 | PBE | relaxed

```
Ga2Ni7Ge2
1.0
3.995 0.000 0.000
-1.998 3.460 0.000
0.000 0.000 9.976
Ga Ni Ge
2 7 2
Cartesian
0.000 0.000 0.000
0.000 0.000 4.988
0.000 0.000 2.464
0.000 0.000 7.511
0.000 2.307 1.237
0.000 2.307 3.740
0.000 2.307 6.236
0.000 2.307 8.739
1.998 1.153 4.988
1.998 1.153 2.387
1.998 1.153 7.589
```

## Properties
ΔE to the lowest computed polymorph = 0.0 kJ/mol of formula units
Formation energy = -28.4 kJ per mole of atoms
Calculated volume = 12.5 Å³/atom

=====

(5)
Ga2Ni6Ge | PBE | relaxed

```
Ga2Ni6Ge
1.0
6.137 -2.730 0.000
6.137 2.730 0.000
-1.201 0.000 3.672
Ga Ni Ge
2 6 1
Cartesian
1.851 0.000 0.612
9.222 0.000 3.060
3.708 1.351 1.231
6.137 1.355 0.000
7.366 1.351 2.441
3.708 -1.351 1.231
6.137 -1.355 0.000
7.366 -1.351 2.441
5.537 0.000 1.836
```

## Properties
Formation energy = -10.5 kJ per mole of atoms
Calculated volume = 13.7 Å³/atom

=====

(6)
Ga2Ni4Ge | PBE | relaxed

```
Ga2Ni4Ge
1.0
4.261 0.000 0.000
0.000 4.261 0.000
0.000 0.000 12.300
Ga Ni Ge
4 8 2
Cartesian
0.000 0.000 1.533
0.000 0.000 10.767
2.131 2.131 4.617
2.131 2.131 7.683
0.000 0.000 3.852
0.000 0.000 8.448
0.000 2.131 0.000
0.000 2.131 6.150
2.131 0.000 0.000
2.131 0.000 6.150
2.131 2.131 2.298
2.131 2.131 10.002
0.000 0.000 6.150
2.131 2.131 0.000
```

## Properties
Formation energy = 32.5 kJ per mole of atoms
Calculated volume = 16.0 Å³/atom

=====

(7)
Ga5Ni12Ge2 | PBE | relaxed

```
Ga5Ni12Ge2
1.0
5.843 -3.809 0.000
5.843 3.809 0.000
-0.470 0.000 5.273
Ga Ni Ge
5 12 2
Cartesian
0.000 0.000 0.000
2.856 0.000 0.182
3.514 0.000 3.052
7.702 0.000 2.221
8.360 0.000 5.091
3.426 1.968 1.559
1.270 0.000 2.073
4.256 1.717 4.712
6.960 1.717 0.561
7.791 1.968 3.714
5.245 0.000 1.267
5.971 0.000 4.007
3.426 -1.968 1.559
4.256 -1.717 4.712
6.960 -1.717 0.561
9.946 0.000 3.200
7.791 -1.968 3.714
5.608 2.031 2.637
5.608 -2.031 2.637
```

## Properties
Formation energy = -25.3 kJ per mole of atoms
Calculated volume = 12.4 Å³/atom

=====

(8)
GaNiGe | PBE | relaxed

```
GaNiGe
1.0
3.979 0.000 0.000
-1.990 3.446 0.000
0.000 0.000 3.526
Ga Ni Ge
1 1 1
Cartesian
0.000 0.000 0.000
1.990 1.149 1.106
0.000 2.298 1.738
```

## Properties
ΔE to the lowest computed polymorph = 94.9 kJ/mol of formula units
Formation energy = 5.2 kJ per mole of atoms
Calculated volume = 16.1 Å³/atom

=====

(9)
GaNiGe2 | PBE | relaxed

```
GaNiGe2
1.0
4.270 0.000 0.000
0.000 4.270 0.000
0.000 0.000 15.453
Ga Ni Ge
4 4 8
Cartesian
0.000 0.000 0.000
0.000 2.135 3.863
2.135 0.000 11.589
2.135 2.135 7.726
0.000 0.000 7.726
0.000 2.135 11.589
2.135 0.000 3.863
2.135 2.135 0.000
0.828 1.068 9.658
1.068 2.964 13.521
1.068 3.442 5.795
1.307 1.068 1.932
2.964 3.203 1.932
3.203 0.828 5.795
3.203 1.307 13.521
3.442 3.203 9.658
```

## Properties
Formation energy = 6.7 kJ per mole of atoms
Calculated volume = 17.6 Å³/atom

=====

(10)
Ga2Ni5Ge | PBE | relaxed

```
Ga2Ni5Ge
1.0
-3.172 3.172 4.878
3.172 -3.172 4.878
3.172 3.172 -4.878
Ga Ni Ge
4 10 2
Cartesian
4.111 0.940 0.000
0.940 2.232 0.000
2.232 0.940 4.878
-0.940 2.232 4.878
0.000 0.000 0.000
4.109 -0.937 1.595
2.234 -0.937 3.283
2.234 0.937 1.595
4.109 0.937 3.283
0.000 0.000 4.878
-0.937 2.234 1.595
0.937 2.234 3.283
0.937 4.109 1.595
-0.937 4.109 3.283
0.000 0.000 2.439
0.000 0.000 7.317
```

## Properties
ΔE to the lowest computed polymorph = 31.3 kJ/mol of formula units
Formation energy = -24.0 kJ per mole of atoms
Calculated volume = 12.3 Å³/atom

=====

(11)
GaNi2Ge3 | PBE | relaxed

```
GaNi2Ge3
1.0
2.868 -5.472 0.000
2.868 5.472 0.000
0.000 0.000 5.765
Ga Ni Ge
2 4 6
Cartesian
1.434 0.000 0.000
4.301 0.000 2.882
2.868 4.001 4.324
2.868 1.480 4.324
2.868 -1.480 1.441
2.868 -4.001 1.441
1.976 2.703 0.536
1.425 0.000 2.882
3.760 2.703 2.347
1.976 -2.703 5.229
4.311 0.000 0.000
3.760 -2.703 3.418
```

## Properties
Formation energy = -22.6 kJ per mole of atoms
Calculated volume = 15.1 Å³/atom

=====

(12)
Ga3Ni4Ge | PBE | relaxed

```
Ga3Ni4Ge
1.0
5.278 0.000 0.000
0.000 8.515 0.000
0.000 0.000 4.811
Ga Ni Ge
6 8 2
Cartesian
0.000 0.000 0.000
0.000 2.242 3.464
0.000 6.273 3.464
2.639 2.016 1.059
2.639 4.258 2.405
2.639 6.500 1.059
0.000 2.099 1.052
0.000 6.416 1.052
1.270 0.000 2.250
1.369 4.258 4.655
2.639 2.158 3.458
2.639 6.357 3.458
3.909 4.258 4.655
4.007 0.000 2.250
0.000 4.258 1.823
2.639 0.000 4.228
```

## Properties
Formation energy = -12.6 kJ per mole of atoms
Calculated volume = 13.5 Å³/atom

=====

- Which of these has the highest calculated volume?
  GaNiGe2